No. 1
DFT (GGA-PBE) results for an optimized crystal structure of SrGd2N.

Values from the calculation:
Its raw formation energy is -58.4 kJ per mole of atoms.

Geometry as extended XYZ:
```
4
Lattice="3.616 0.000 0.000 1.808 3.131 0.000 1.808 1.044 9.800" Properties=species:S:1:pos:R:3 pbc="T T T"
N 3.616 2.088 4.900
Sr 0.000 0.000 0.000
Gd 1.808 1.044 6.221
Gd 5.424 3.131 3.579
```

No. 2
DFT (GGA-PBE) results for an optimized crystal structure of NiIrRu2.

Values from the calculation:
The energy above the lowest structure with this stoichiometry is 74.3 meV per atom. For the formation energy, the calculation gives 0.112 eV/atom.

Geometry as extended XYZ:
```
4
Lattice="2.684 0.000 0.000 0.000 4.605 -0.016 0.000 3.063 4.355" Properties=species:S:1:pos:R:3 pbc="T T T"
Ru 0.000 0.000 0.000
Ru 1.342 2.302 -0.008
Ir 1.342 3.834 2.170
Ni 0.000 1.531 2.177
```

No. 3
DFT (GGA-PBE) results for an optimized crystal structure of HgPb2Cl.

Values from the calculation:
Its raw formation energy is -19.7 kJ per mole of atoms. The energy above the lowest structure with this stoichiometry is 87.8 meV per atom.

Geometry as extended XYZ:
```
4
Lattice="-3.715 2.834 0.699 -4.108 -0.918 -2.145 -4.500 -3.133 4.754" Properties=species:S:1:pos:R:3 pbc="T T T"
Hg -9.708 -1.841 3.771
Cl -6.131 -0.547 1.569
Pb -4.126 -2.388 3.720
Pb -3.019 -0.181 0.656
```

Number 1: M_tot 3.76 μB per atom. Number 2: M_tot 0.00 μB per atom. Number 3: M_tot 0.00 μB per atom.